DFT (GGA-PBE) results for an optimized crystal structure of V3HgW.

Calculated values
Relative energy among the computed polymorphs (eV per atom): 0.000

abc: 4.619 4.619 4.619
angles: 90.00 90.00 90.00
Space group Pm-3m (No. 221)
One atom of each set of equivalent atoms:
V 0.000 0.000 0.500 [3 per cell]
Hg 0.500 0.500 0.500 [1 per cell]
W 0.000 0.000 0.000 [1 per cell]

DFT (GGA-PBE) results for an optimized crystal structure of La2Sb2Rh3.

Calculated values
Relative energy among the computed polymorphs (eV per atom): 0.000
Formation energy from raw total energies (eV per atom): -0.862

abc: 8.742 8.742 8.742
angles: 90.00 90.00 90.00
Space group I2_13 (No. 199)
One atom of each set of equivalent atoms:
La 0.005 0.005 0.005 [8 per cell]
Sb 0.209 0.291 0.709 [8 per cell]
Rh 0.000 0.250 0.227 [12 per cell]

DFT (GGA-PBE) results for an optimized crystal structure of Sm2YN.

Calculated values
Formation energy from raw total energies (eV per atom): 0.369

abc: 6.1898 6.1898 11.6485
angles: 90.00 90.00 120.00
Space group R-3m (No. 166, hexagonal axes)
One atom of each set of equivalent atoms:
Sm 0.0000 0.0000 0.1798 [6 per cell]
Y 0.0000 0.0000 0.5000 [3 per cell]
N 0.0000 0.0000 0.0000 [3 per cell]

DFT (GGA-PBE) results for an optimized crystal structure of Er4CdIn2.

Calculated values
Relative energy among the computed polymorphs (eV per atom): 0.000

abc: 5.2061 5.2061 25.2684
angles: 90.00 90.00 120.00
Space group R-3m (No. 166, hexagonal axes)
One atom of each set of equivalent atoms:
Er 0.0000 0.0000 0.1197 [6 per cell]
Er 0.0000 0.0000 0.3718 [6 per cell]
Cd 0.0000 0.0000 0.5000 [3 per cell]
In 0.0000 0.0000 0.2489 [6 per cell]

DFT (GGA-PBE) results for an optimized crystal structure of MgHgRh.

Calculated values
Relative energy among the computed polymorphs (eV per atom): 0.184

abc: 6.308 6.308 6.308
angles: 90.00 90.00 90.00
Space group F-43m (No. 216)
One atom of each set of equivalent atoms:
Mg 0.000 0.000 0.000 [4 per cell]
Hg 0.000 0.000 0.500 [4 per cell]
Rh 0.250 0.250 0.250 [4 per cell]

DFT (GGA-PBE) results for an optimized crystal structure of Ba3TaCu2O9.

Calculated values
Formation energy from raw total energies (eV per atom): -1.947

abc: 5.7398 5.7398 7.0330
angles: 90.00 90.00 120.00
Space group P-3m1 (No. 164)
One atom of each set of equivalent atoms:
Ba 0.0000 0.0000 0.0000 [1 per cell]
Ba 0.3333 0.6667 0.6776 [2 per cell]
Ta 0.0000 0.0000 0.5000 [1 per cell]
Cu 0.3333 0.6667 0.1632 [2 per cell]
O 0.0000 0.5000 0.0000 [3 per cell]
O 0.1647 0.3293 0.3363 [6 per cell]